No. 1
## TiSn3W (PBE)

Data for TiSn3W after structural relaxation.

Cell lengths 5.2286, 5.2286, 5.2286 Å; angles 90.00, 90.00, 90.00 degrees
Closest atoms and distances in Å follow each position.
Atoms (fractional coordinates):
Ti 0.5000 0.5000 0.5000  12 Sn 3.70
Sn 0.0000 0.5000 0.0000  2 W 2.61
W 0.0000 0.0000 0.0000  6 Sn 2.61
Sn 0.0000 0.0000 0.5000  2 W 2.61
Sn 0.5000 0.0000 0.0000  2 W 2.61

- Total energy: -5.557 eV per atom
- D(E_F): 2.37 states/eV/atom
- Formation enthalpy at 0 K: 1.015 eV per atom
- Volume: 142.9 Å³/f.u.



No. 2
## Ti6SnW (PBE)

Data for Ti6SnW after structural relaxation.

Cell lengths 4.4322, 5.7350, 5.7350 Å; angles 108.32, 90.00, 90.00 degrees
Closest atoms and distances in Å follow each position.
Atoms (fractional coordinates):
W 0.5000 0.3719 0.6281  8 Ti 2.71-3.01
Ti 0.0000 0.1507 0.3859  2 W 2.71, 4 Ti 2.81-2.94, 2 Sn 2.86-2.88
Ti 0.0000 0.6500 0.3500  10 Ti 2.71-2.95
Ti 0.5000 0.8599 0.1401  10 Ti 2.74-2.99
Ti 0.5000 0.3876 0.1584  4 Ti 2.71-2.99, 2 W 2.72-3.01, 2 Sn 2.88
Ti 0.0000 0.6141 0.8493  2 W 2.71, 4 Ti 2.81-2.94, 2 Sn 2.86-2.88
Ti 0.5000 0.8416 0.6124  4 Ti 2.71-2.99, 2 W 2.72-3.01, 2 Sn 2.88
Sn 0.0000 0.1239 0.8761  8 Ti 2.86-2.88, 2 W 3.20

- Total energy: -8.150 eV per atom
- D(E_F): 1.01 states/eV/atom
- Formation enthalpy at 0 K: -0.109 eV per atom
- Volume: 138.4 Å³/f.u.



No. 3
## Y3TiSn (PBE)

Data for Y3TiSn after structural relaxation.

Cell lengths 5.6860, 5.6860, 5.6860 Å; angles 90.00, 90.00, 90.00 degrees
Closest atoms and distances in Å follow each position.
Atoms (fractional coordinates):
Y 0.0000 0.0000 0.5000  2 Sn 2.84
Sn 0.0000 0.0000 0.0000  6 Y 2.84
Y 0.5000 0.0000 0.0000  2 Sn 2.84
Y 0.0000 0.5000 0.0000  2 Sn 2.84
Ti 0.5000 0.5000 0.5000  12 Y 4.02

- Total energy: -5.697 eV per atom
- D(E_F): 1.30 states/eV/atom
- Formation enthalpy at 0 K: 0.561 eV per atom
- Volume: 183.8 Å³/f.u.



No. 4
## YTi2Sn (PBE)

Data for YTi2Sn after structural relaxation.

Cell lengths 7.9679, 7.9679, 6.3642 Å; angles 51.24, 51.24, 90.00 degrees
Closest atoms and distances in Å follow each position.
Atoms (fractional coordinates):
Y 0.2500 0.7500 0.5000  2 Sn 2.96, 4 Ti 3.06
Y 0.5000 0.5000 0.0000  2 Sn 2.96, 4 Ti 3.06
Ti 0.3750 0.3484 0.7500  2 Sn 2.77, 2 Ti 2.99, 2 Y 3.06
Ti 0.0984 0.6250 0.2500  2 Sn 2.77, 2 Ti 2.99, 2 Y 3.06
Ti 0.8750 0.9016 0.7500  2 Sn 2.77, 2 Ti 2.99, 2 Y 3.06
Ti 0.6516 0.1250 0.2500  2 Sn 2.77, 2 Ti 2.99, 2 Y 3.06
Sn 0.0000 0.0000 0.0000  4 Ti 2.77, 2 Y 2.96
Sn 0.7500 0.2500 0.5000  4 Ti 2.77, 2 Y 2.96

- Total energy: -6.253 eV per atom
- D(E_F): 1.23 states/eV/atom
- Formation enthalpy at 0 K: 0.311 eV per atom
- Volume: 94.0 Å³/f.u.



No. 5
## Y2TiSn2 (PBE)

Data for Y2TiSn2 after structural relaxation.

Cell lengths 7.5615, 7.5615, 4.5073 Å; angles 90.00, 90.00, 90.00 degrees
Closest atoms and distances in Å follow each position.
Atoms (fractional coordinates):
Ti 0.0000 0.0000 0.0000  4 Sn 2.94
Ti 0.5000 0.5000 0.0000  4 Sn 2.94
Sn 0.1361 0.3639 0.0000  1 Sn 2.91, 2 Ti 2.94, 6 Y 3.04-3.26
Sn 0.6361 0.1361 0.0000  1 Sn 2.91, 2 Ti 2.94, 6 Y 3.04-3.26
Y 0.3270 0.1730 0.5000  6 Sn 3.04-3.26
Sn 0.8639 0.6361 0.0000  1 Sn 2.91, 2 Ti 2.94, 6 Y 3.04-3.26
Y 0.6730 0.8270 0.5000  6 Sn 3.04-3.26
Y 0.1730 0.6730 0.5000  6 Sn 3.04-3.26
Sn 0.3639 0.8639 0.0000  1 Sn 2.91, 2 Ti 2.94, 6 Y 3.04-3.26
Y 0.8270 0.3270 0.5000  6 Sn 3.04-3.26

- Total energy: -6.308 eV per atom
- D(E_F): 0.99 states/eV/atom
- Formation enthalpy at 0 K: -0.542 eV per atom
- Volume: 128.9 Å³/f.u.



No. 6
## YTi2Sn2 (PBE)

Data for YTi2Sn2 after structural relaxation.

Cell lengths 8.3447, 8.3447, 3.1137 Å; angles 90.00, 90.00, 90.00 degrees
Closest atoms and distances in Å follow each position.
Atoms (fractional coordinates):
Sn 0.6794 0.8206 0.5000  6 Ti 2.90-2.95, 2 Sn 3.11
Sn 0.1794 0.6794 0.5000  6 Ti 2.90-2.95, 2 Sn 3.11
Y 0.5000 0.5000 0.0000  2 Y 3.11, 4 Ti 3.36, 8 Sn 3.44
Sn 0.8206 0.3206 0.5000  6 Ti 2.90-2.95, 2 Sn 3.11
Sn 0.3206 0.1794 0.5000  6 Ti 2.90-2.95, 2 Sn 3.11
Ti 0.6133 0.1133 0.0000  1 Ti 2.67, 6 Sn 2.90-2.95
Y 0.0000 0.0000 0.0000  2 Y 3.11, 4 Ti 3.36, 8 Sn 3.44
Ti 0.8867 0.6133 0.0000  1 Ti 2.67, 6 Sn 2.90-2.95
Ti 0.3867 0.8867 0.0000  1 Ti 2.67, 6 Sn 2.90-2.95
Ti 0.1133 0.3867 0.0000  1 Ti 2.67, 6 Sn 2.90-2.95

- Total energy: -6.332 eV per atom
- D(E_F): 0.80 states/eV/atom
- Formation enthalpy at 0 K: -0.281 eV per atom
- Volume: 108.4 Å³/f.u.



No. 7
## Y2Ti2Sn (PBE)

Data for Y2Ti2Sn after structural relaxation.

Cell lengths 7.3484, 7.3484, 4.4615 Å; angles 90.00, 90.00, 90.00 degrees
Closest atoms and distances in Å follow each position.
Atoms (fractional coordinates):
Y 0.3348 0.1652 0.5000  6 Ti 3.08-3.13, 1 Y 3.43
Ti 0.6309 0.1309 0.0000  1 Ti 2.72, 2 Sn 2.88
Sn 0.0000 0.0000 0.0000  4 Ti 2.88
Y 0.6652 0.8348 0.5000  6 Ti 3.08-3.13, 1 Y 3.43
Ti 0.3691 0.8691 0.0000  1 Ti 2.72, 2 Sn 2.88
Ti 0.8691 0.6309 0.0000  1 Ti 2.72, 2 Sn 2.88
Y 0.8348 0.3348 0.5000  6 Ti 3.08-3.13, 1 Y 3.43
Sn 0.5000 0.5000 0.0000  4 Ti 2.88
Ti 0.1309 0.3691 0.0000  1 Ti 2.72, 2 Sn 2.88
Y 0.1652 0.6652 0.5000  6 Ti 3.08-3.13, 1 Y 3.43

- Total energy: -6.670 eV per atom
- D(E_F): 1.26 states/eV/atom
- Formation enthalpy at 0 K: -0.126 eV per atom
- Volume: 120.5 Å³/f.u.



No. 8
## YTi2Sn2 (PBE)

Data for YTi2Sn2 after structural relaxation.

Cell lengths 7.8603, 7.8603, 3.5729 Å; angles 90.00, 90.00, 90.00 degrees
Closest atoms and distances in Å follow each position.
Atoms (fractional coordinates):
Ti 0.1632 0.6632 0.5000  6 Sn 2.88-2.95
Y 0.5000 0.5000 0.0000  4 Sn 3.06
Sn 0.8660 0.6340 0.0000  6 Ti 2.88-2.95, 1 Sn 2.98, 2 Y 3.06
Ti 0.6632 0.8368 0.5000  6 Sn 2.88-2.95
Y 0.0000 0.0000 0.0000  4 Sn 3.06
Ti 0.3368 0.1632 0.5000  6 Sn 2.88-2.95
Sn 0.6340 0.1340 0.0000  6 Ti 2.88-2.95, 1 Sn 2.98, 2 Y 3.06
Ti 0.8368 0.3368 0.5000  6 Sn 2.88-2.95
Sn 0.1340 0.3660 0.0000  6 Ti 2.88-2.95, 1 Sn 2.98, 2 Y 3.06
Sn 0.3660 0.8660 0.0000  6 Ti 2.88-2.95, 1 Sn 2.98, 2 Y 3.06

- Total energy: -6.349 eV per atom
- D(E_F): 1.37 states/eV/atom
- Formation enthalpy at 0 K: -0.298 eV per atom
- Volume: 110.4 Å³/f.u.



No. 9
## YTi2Sn2 (PBE)

Data for YTi2Sn2 after structural relaxation.

Cell lengths 4.6197, 4.6197, 6.3422 Å; angles 68.64, 68.64, 90.00 degrees
Closest atoms and distances in Å follow each position.
Atoms (fractional coordinates):
Ti 0.5944 0.5944 0.8111  1 Ti 2.05
Sn 0.7500 0.2500 0.5000  4 Ti 2.86
Ti 0.4056 0.4056 0.1889  1 Ti 2.05
Y 0.0000 0.0000 0.0000  8 Ti 3.42, 8 Sn 3.57
Sn 0.2500 0.7500 0.5000  4 Ti 2.86

- Total energy: -6.052 eV per atom
- D(E_F): 0.88 states/eV/atom
- Formation enthalpy at 0 K: 0.000 eV per atom
- Volume: 116.0 Å³/f.u.



No. 10
## YTi2Sn2 (PBE)

Data for YTi2Sn2 after structural relaxation.

Cell lengths 4.1944, 4.1944, 7.1570 Å; angles 72.96, 72.96, 90.00 degrees
Closest atoms and distances in Å follow each position.
Atoms (fractional coordinates):
Y 0.0000 0.0000 0.0000  8 Sn 3.28
Ti 0.2500 0.7500 0.5000  4 Sn 2.79, 4 Ti 2.97
Sn 0.3918 0.3918 0.2163  4 Ti 2.79, 1 Sn 2.82
Sn 0.6082 0.6082 0.7837  4 Ti 2.79, 1 Sn 2.82
Ti 0.7500 0.2500 0.5000  4 Sn 2.79, 4 Ti 2.97

- Total energy: -6.433 eV per atom
- D(E_F): 1.34 states/eV/atom
- Formation enthalpy at 0 K: -0.381 eV per atom
- Volume: 114.6 Å³/f.u.



No. 11
## Y3TiSn (PBE)

Data for Y3TiSn after structural relaxation.

Cell lengths 5.2962, 5.2962, 5.2962 Å; angles 90.00, 90.00, 90.00 degrees
Closest atoms and distances in Å follow each position.
Atoms (fractional coordinates):
Y 0.0000 0.0000 0.5000  2 Ti 2.65
Ti 0.0000 0.0000 0.0000  6 Y 2.65
Y 0.5000 0.0000 0.0000  2 Ti 2.65
Sn 0.5000 0.5000 0.5000  12 Y 3.74
Y 0.0000 0.5000 0.0000  2 Ti 2.65

- Total energy: -5.896 eV per atom
- D(E_F): 0.93 states/eV/atom
- Formation enthalpy at 0 K: 0.362 eV per atom
- Volume: 148.6 Å³/f.u.



No. 12
## YTiSn3 (PBE)

Data for YTiSn3 after structural relaxation.

Cell lengths 5.2268, 5.2268, 5.2268 Å; angles 90.00, 90.00, 90.00 degrees
Closest atoms and distances in Å follow each position.
Atoms (fractional coordinates):
Ti 0.0000 0.0000 0.0000  6 Sn 2.61
Sn 0.5000 0.0000 0.0000  2 Ti 2.61
Sn 0.0000 0.5000 0.0000  2 Ti 2.61
Y 0.5000 0.5000 0.5000  12 Sn 3.70
Sn 0.0000 0.0000 0.5000  2 Ti 2.61

- Total energy: -5.277 eV per atom
- D(E_F): 0.70 states/eV/atom
- Formation enthalpy at 0 K: -0.003 eV per atom
- Volume: 142.8 Å³/f.u.